Record 1
Compound: TmMoPb2O6
Source: Alexandria via LeMat-Bulk
Functional: PBE+U
Structure: optimized geometry

abc: 5.764 5.941 10.198
angles: 90.00 123.87 90.00
Space group P2_1/c (No. 14)
Asymmetric unit:
Tm1 0.000 0.000 0.000 x2
Mo1 0.500 0.000 0.500 x2
Pb1 0.246 0.039 0.734 x4
O1 0.185 0.187 0.481 x4
O2 0.284 0.732 0.473 x4
O3 0.320 0.022 0.259 x4

For the electronic total energy, the calculation gives -68.309 eV per formula unit. Its calculated volume is 14.50 Å³/atom.

Record 2
Compound: Tm2MoPbO8
Source: Alexandria via LeMat-Bulk
Functional: PBE+U
Structure: optimized geometry

abc: 4.942 6.777 4.946
angles: 90.00 92.33 90.00
Space group P2/m (No. 10)
Asymmetric unit:
Tm1 0.000 0.242 0.000 x2
Mo1 0.500 0.000 0.500 x1
Pb1 0.500 0.500 0.500 x1
O1 0.199 0.500 0.198 x2
O2 0.217 0.000 0.216 x2
O3 0.314 0.215 0.685 x4

For the electronic total energy, the calculation gives -86.256 eV per formula unit. Its calculated volume is 13.79 Å³/atom.

Record 3
Compound: TmMoPbO6
Source: Alexandria via LeMat-Bulk
Functional: PBE+U
Structure: optimized geometry

abc: 5.5369 5.5369 4.8686
angles: 90.00 90.00 120.00
Space group P312 (No. 149)
Asymmetric unit:
Tm1 0.0000 0.0000 0.0000 x1
Mo1 0.3333 0.6667 0.0000 x1
Pb1 0.6667 0.3333 0.5000 x1
O1 0.0454 0.3674 0.2227 x6

For the electronic total energy, the calculation gives -62.355 eV per formula unit. Its calculated volume is 14.36 Å³/atom.

Record 4
Compound: UMoPbO6
Source: Alexandria via LeMat-Bulk
Functional: PBE+U
Structure: optimized geometry

abc: 5.6067 5.6067 10.6062
angles: 90.00 90.00 120.00
Space group P-31c (No. 163)
Asymmetric unit:
U1 0.3333 0.6667 0.2500 x2
Mo1 0.3333 0.6667 0.7500 x2
Pb1 0.0000 0.0000 0.0000 x2
O1 0.0037 0.3702 0.6471 x12

For the electronic total energy, the calculation gives -71.383 eV per formula unit. Its calculated volume is 16.04 Å³/atom.

Record 5
Compound: UMo4PbO16
Source: Alexandria via LeMat-Bulk
Functional: PBE+U
Structure: optimized geometry

abc: 8.730 6.839 14.546
angles: 90.00 126.50 90.00
Space group P2/c (No. 13)
Asymmetric unit:
U1 0.000 0.188 0.250 x2
Mo1 0.202 0.341 0.904 x4
Mo2 0.296 0.337 0.594 x4
Pb1 0.500 0.187 0.250 x2
O1 0.000 0.448 0.750 x2
O2 0.101 0.345 0.597 x4
O3 0.126 0.089 0.868 x4
O4 0.180 0.350 0.429 x4
O5 0.208 0.189 0.248 x4
O6 0.311 0.361 0.059 x4
O7 0.359 0.088 0.612 x4
O8 0.398 0.350 0.901 x4
O9 0.500 0.423 0.750 x2

For the electronic total energy, the calculation gives -162.864 eV per formula unit. Its calculated volume is 15.87 Å³/atom.

Record 6
Compound: V2MoPb3O9
Source: Alexandria via LeMat-Bulk
Functional: PBE+U
Structure: optimized geometry

abc: 5.6742 5.6742 6.9971
angles: 90.00 90.00 120.00
Space group P-3m1 (No. 164)
Asymmetric unit:
V1 0.3333 0.6667 0.1736 x2
Mo1 0.0000 0.0000 0.5000 x1
Pb1 0.0000 0.0000 0.0000 x1
Pb2 0.3333 0.6667 0.7128 x2
O1 0.0000 0.5000 0.0000 x3
O2 0.1613 0.3227 0.3369 x6

For the electronic total energy, the calculation gives -101.147 eV per formula unit. Its calculated volume is 13.01 Å³/atom.

Record 7
Compound: V2MoPbO8
Source: Alexandria via LeMat-Bulk
Functional: PBE+U
Structure: optimized geometry

abc: 5.6795 5.6795 6.8768
angles: 90.00 90.00 120.00
Space group P-3m1 (No. 164)
Asymmetric unit:
V1 0.3333 0.6667 0.2629 x2
Mo1 0.0000 0.0000 0.0000 x1
Pb1 0.0000 0.0000 0.5000 x1
O1 0.1621 0.3242 0.1833 x6
O2 0.3333 0.6667 0.5055 x2

For the electronic total energy, the calculation gives -85.674 eV per formula unit. Its calculated volume is 16.01 Å³/atom.

Record 8
Compound: YMoPb2O6
Source: Alexandria via LeMat-Bulk
Functional: PBE+U
Structure: optimized geometry

abc: 5.770 6.030 10.245
angles: 90.00 123.61 90.00
Space group P2_1/c (No. 14)
Asymmetric unit:
Y1 0.000 0.000 0.000 x2
Mo1 0.500 0.000 0.500 x2
Pb1 0.243 0.043 0.732 x4
O1 0.182 0.181 0.481 x4
O2 0.286 0.734 0.469 x4
O3 0.328 0.026 0.262 x4

For the electronic total energy, the calculation gives -69.960 eV per formula unit. Its calculated volume is 14.84 Å³/atom.